Sc4Ge3Mo2C3, relaxed, DFT GGA-PBE; space group = C2/c (15); energy = -7.989 eV per atom; mass density = 5.7 Mg/m³; V = 15.09 Å³ per atom
1.0
-0.600 -2.672 4.872
-2.979 -4.724 0.207
9.843 -9.501 -0.842
C Ge Mo Sc
6 6 4 8
Direct
0.500 0.000 0.000
0.819 0.340 0.000
0.181 0.660 0.000
0.340 0.819 0.500
0.000 0.500 0.500
0.660 0.181 0.500
0.417 0.297 0.249
0.145 0.855 0.250
0.703 0.583 0.251
0.297 0.417 0.749
0.855 0.145 0.750
0.583 0.703 0.751
0.476 0.651 0.079
0.349 0.524 0.421
0.651 0.476 0.579
0.524 0.349 0.921
0.810 0.961 0.096
0.127 0.302 0.096
0.698 0.873 0.404
0.039 0.190 0.404
0.961 0.810 0.596
0.302 0.127 0.596
0.873 0.698 0.904
0.190 0.039 0.904